1.
Here is crystalline AcGdIn at its relaxed geometry from Alexandria. Energies are from GGA-PBE.

Lattice parameters (Å, degrees): 5.4620 5.4620 5.4620 60.00 60.00 60.00
With the nearest neighbours (Å) after each atom.
Element x y z (fractional)
Gd1 0.0000 0.0000 0.0000  4 In 3.34
Ac1 0.5000 0.5000 0.5000  4 In 3.34
In1 0.2500 0.2500 0.2500  4 Gd 3.34, 4 Ac 3.34

Output
* N(E_F): 5.4 states/eV/f.u.
* ΔH_f (0 K): -116 meV per atom
* symmetry: F-43m

2.
Here is crystalline ReNiP2 at its relaxed geometry from Alexandria. Energies are from GGA-PBE.

Lattice parameters (Å, degrees): 4.2091 4.2091 4.2091 60.00 60.00 60.00
With the nearest neighbours (Å) after each atom.
Element x y z (fractional)
P1 0.2500 0.2500 0.2500  4 Ni 2.58, 4 P 2.58
P2 0.0000 0.0000 0.0000  4 P 2.58, 4 Re 2.58
Re1 0.7500 0.7500 0.7500  4 Ni 2.58, 4 P 2.58
Ni1 0.5000 0.5000 0.5000  4 Re 2.58, 4 P 2.58

Output
* N(E_F): 2.4 states/eV/f.u.
* ΔH_f (0 K): 522 meV per atom
* symmetry: F-43m

3.
Here is crystalline RbMnTlS3 at its relaxed geometry from Alexandria. Energies are from GGA-PBE.

Lattice parameters (Å, degrees): 6.5025 7.1246 8.0448 63.72 85.15 78.99
With the nearest neighbours (Å) after each atom.
Element x y z (fractional)
Rb1 0.2500 0.2419 0.5162  6 S 3.31-3.66
Rb2 0.7500 0.7581 0.4838  6 S 3.31-3.66
S1 0.2500 0.8004 0.3991  1 Mn 2.23
S2 0.4930 0.1726 0.0650  2 Mn 2.29-2.36
S3 0.9930 0.2376 0.9350  2 Mn 2.29-2.36
S4 0.0070 0.7624 0.0650  2 Mn 2.29-2.36
S5 0.7500 0.1996 0.6009  1 Mn 2.23
S6 0.5070 0.8274 0.9350  2 Mn 2.29-2.36
Tl1 0.7500 0.4040 0.1920  5 S 2.95-3.06
Tl2 0.2500 0.5960 0.8080  5 S 2.95-3.06
Mn1 0.2500 0.9548 0.0904  5 S 2.23-2.36
Mn2 0.7500 0.0452 0.9096  5 S 2.23-2.36

Output
* N(E_F): 1.9 states/eV/f.u.
* symmetry: C2/c

4.
Here is crystalline CuBiP2Se6 at its relaxed geometry from Alexandria. Energies are from GGA-PBE.

Lattice parameters (Å, degrees): 6.6169 6.6169 14.7409 90.00 90.00 120.00
With the nearest neighbours (Å) after each atom.
Element x y z (fractional)
Se1 0.3261 0.0305 0.8678  1 P 2.22
Se2 0.7044 0.0305 0.6322  1 P 2.22
Se3 0.0305 0.7044 0.1322  1 P 2.22
Se4 0.2956 0.9695 0.3678  1 P 2.22
Se5 0.6739 0.7044 0.3678  1 P 2.22
Se6 0.9695 0.6739 0.6322  1 P 2.22
Se7 0.6739 0.9695 0.1322  1 P 2.22
Se8 0.0305 0.3261 0.3678  1 P 2.22
Se9 0.3261 0.2956 0.6322  1 P 2.22
Se10 0.7044 0.6739 0.8678  1 P 2.22
Se11 0.9695 0.2956 0.8678  1 P 2.22
Se12 0.2956 0.3261 0.1322  1 P 2.22
P1 0.6667 0.3333 0.6726  3 Se 2.22, 1 P 2.28
P2 0.3333 0.6667 0.1726  3 Se 2.22, 1 P 2.28
P3 0.3333 0.6667 0.3274  3 Se 2.22, 1 P 2.28
P4 0.6667 0.3333 0.8274  3 Se 2.22, 1 P 2.28
Bi1 0.3333 0.6667 0.7500  6 Se 2.99
Bi2 0.6667 0.3333 0.2500  6 Se 2.99
Cu1 0.0000 0.0000 0.7500  6 Se 2.70
Cu2 0.0000 0.0000 0.2500  6 Se 2.70

Output
* symmetry: P-31c

5.
Here is crystalline AlGaSb2 at its relaxed geometry from Alexandria. Energies are from GGA-PBE.

Lattice parameters (Å, degrees): 6.2233 6.2233 7.6230 65.91 65.91 90.00
With the nearest neighbours (Å) after each atom.
Element x y z (fractional)
Sb1 0.1241 0.6250 0.2500  2 Ga 2.69, 2 Al 2.70
Sb2 0.6259 0.1250 0.2500  2 Ga 2.69, 2 Al 2.70
Sb3 0.3750 0.3741 0.7500  2 Ga 2.69, 2 Al 2.70
Sb4 0.8750 0.8759 0.7500  2 Ga 2.69, 2 Al 2.70
Al1 0.2500 0.7500 0.5000  4 Sb 2.70
Al2 0.5000 0.5000 0.0000  4 Sb 2.70
Ga1 0.0000 0.0000 0.0000  4 Sb 2.69
Ga2 0.7500 0.2500 0.5000  4 Sb 2.69

Output
* N(E_F): 0.0 states/eV/f.u.
* symmetry: I-42d

6.
Here is crystalline Sr2CaZn4 at its relaxed geometry from Alexandria. Energies are from GGA-PBE.

Lattice parameters (Å, degrees): 4.9029 4.9029 10.8125 76.90 76.90 60.00
With the nearest neighbours (Å) after each atom.
Element x y z (fractional)
Zn1 0.6492 0.6492 0.0525  3 Ca 2.88, 3 Zn 3.04
Zn2 0.3508 0.3508 0.9475  3 Ca 2.88, 3 Zn 3.04
Zn3 0.8535 0.8535 0.4394  3 Zn 3.10, 4 Sr 3.15-3.40
Zn4 0.1465 0.1465 0.5606  3 Zn 3.10, 4 Sr 3.15-3.40
Sr1 0.2472 0.2472 0.2584  5 Zn 3.15-3.40
Sr2 0.7528 0.7528 0.7416  5 Zn 3.15-3.40
Ca1 0.0000 0.0000 0.0000  6 Zn 2.88

Output
* N(E_F): 6.1 states/eV/f.u.
* ΔH_f (0 K): -8 meV per atom
* symmetry: R-3m

no.,energy (eV per atom)
1,-7.092
2,-6.740
3,-4.776
4,-4.134
5,-3.917
6,-1.502